# NiRhW2 | Alexandria via LeMat-Bulk | PBE-GGA | optimized geometry
data_NiRhW2
_chemical_formula_sum 'Ni4 Rh4 W8'
_symmetry_space_group_name_H-M 'I -4 2 d'
_symmetry_Int_Tables_number 122
_symmetry_space_group_name_Hall 'I -4 2bw'
_cell_length_a 3.765
_cell_length_b 3.765
_cell_length_c 17.774
_cell_angle_alpha 90.00
_cell_angle_beta 90.00
_cell_angle_gamma 90.00
loop_
_atom_site_label
_atom_site_type_symbol
_atom_site_fract_x
_atom_site_fract_y
_atom_site_fract_z
_atom_site_occupancy
Ni1 Ni 0.000 0.000 0.000 1
Rh1 Rh 0.000 0.000 0.500 1
W1 W 0.235 0.250 0.125 1
# - total DFT energy (no corrections) (eV for the cell shown) = -146.6
# - ΔE_f (eV per atom) = 0.597
# - ΔE to the lowest computed polymorph (meV/atom) = 651